Material: Sr12Ca3H5
Method: DFT, PBE
State: relaxed Values from VASP.

The structure in Quantum ESPRESSO input format:
```
&SYSTEM
  ibrav = 0, nat = 80, ntyp = 3
/
ATOMIC_SPECIES
Ca 40.08 Ca.upf
H 1.01 H.upf
Sr 87.62 Sr.upf
CELL_PARAMETERS angstrom
15.770 0.000 0.000
-5.257 14.868 0.000
-5.257 -7.434 12.876
ATOMIC_POSITIONS crystal
Ca 0.750 0.375 0.125
Ca 0.875 0.750 0.125
Ca 0.375 0.750 0.625
Ca 0.250 0.125 0.375
Ca 0.875 0.125 0.250
Ca 0.375 0.625 0.250
Ca 0.625 0.375 0.750
Ca 0.125 0.875 0.750
Ca 0.750 0.875 0.625
Ca 0.625 0.250 0.375
Ca 0.125 0.250 0.875
Ca 0.250 0.625 0.875
H 0.125 0.375 0.250
H 0.000 0.500 0.000
H 0.000 0.000 0.000
H 0.375 0.250 0.125
H 0.500 0.000 0.500
H 0.500 0.500 0.000
H 0.125 0.750 0.375
H 0.750 0.125 0.875
H 0.750 0.625 0.375
H 0.375 0.125 0.750
H 0.625 0.875 0.250
H 0.500 0.500 0.500
H 0.500 0.000 0.000
H 0.000 0.000 0.500
H 0.250 0.375 0.625
H 0.250 0.875 0.125
H 0.000 0.500 0.500
H 0.875 0.250 0.625
H 0.625 0.750 0.875
H 0.875 0.625 0.750
Sr 0.694 0.102 0.999
Sr 0.305 0.499 0.397
Sr 0.001 0.398 0.306
Sr 0.499 0.194 0.102
Sr 0.592 0.694 0.695
Sr 0.001 0.603 0.195
Sr 0.305 0.806 0.408
Sr 0.103 0.908 0.102
Sr 0.603 0.001 0.695
Sr 0.694 0.592 0.195
Sr 0.806 0.501 0.398
Sr 0.805 0.897 0.999
Sr 0.102 0.694 0.499
Sr 0.398 0.397 0.092
Sr 0.092 0.897 0.398
Sr 0.408 0.102 0.603
Sr 0.092 0.195 0.194
Sr 0.501 0.695 0.103
Sr 0.805 0.908 0.306
Sr 0.102 0.408 0.103
Sr 0.398 0.001 0.806
Sr 0.603 0.602 0.408
Sr 0.897 0.805 0.499
Sr 0.806 0.305 0.908
Sr 0.397 0.398 0.592
Sr 0.103 0.195 0.501
Sr 0.194 0.695 0.092
Sr 0.195 0.092 0.694
Sr 0.602 0.999 0.194
Sr 0.898 0.592 0.897
Sr 0.499 0.305 0.897
Sr 0.592 0.898 0.397
Sr 0.908 0.805 0.806
Sr 0.908 0.103 0.602
Sr 0.898 0.306 0.501
Sr 0.195 0.103 0.001
Sr 0.602 0.603 0.908
Sr 0.397 0.999 0.305
Sr 0.306 0.408 0.805
Sr 0.194 0.499 0.602
Sr 0.897 0.092 0.898
Sr 0.695 0.194 0.592
Sr 0.501 0.806 0.898
Sr 0.999 0.397 0.805
Sr 0.408 0.306 0.305
Sr 0.999 0.602 0.694
Sr 0.695 0.501 0.603
Sr 0.306 0.898 0.001
```

The density of states at the Fermi level is 18.76 states/eV/f.u. The space group is No. 230. As for the uncorrected energy: -176.0 eV for the cell shown. As for the magnetization: 0.00 μB per cell.